# 1
GGA-PBE Nd3BeB2N6, relaxed; crystal system = trigonal
1.0
5.3564 0.0000 0.0000
-2.6782 4.6388 0.0000
0.0000 0.0000 6.0710
N Nd B Be
6 3 2 1
Cartesian
-1.2504 3.8145 1.7828
1.2504 3.8145 1.7828
0.0000 1.6486 1.7828
2.6782 2.9902 4.2882
1.4278 0.8243 4.2882
3.9287 0.8243 4.2882
0.0000 0.0000 0.0000
0.0000 3.0925 4.0168
2.6782 1.5463 2.0542
2.6782 1.5463 4.4989
0.0000 3.0925 1.5721
0.0000 0.0000 3.0355

# 2
GGA-PBE BeBNO2, relaxed; crystal system = tetragonal
1.0
-0.5228 -2.8716 0.0535
6.5069 -1.1673 0.9272
-0.3895 0.1248 2.8905
O B Be N
2 1 1 1
Cartesian
-0.2614 -1.4358 0.0268
-0.1948 0.0624 1.4452
2.7973 -1.9570 1.9356
0.0000 0.0000 0.0000
3.2534 -0.5837 0.4636

Number 1: theoretical density 6.0 g/cm3, E_tot -91.9 eV for the cell shown. Number 2: theoretical density 1.9 g/cm3, E_tot -25.0 eV for the cell shown.